VASP calculation (PBE with a Hubbard U) on a geometry-optimized IrWF2 structure.

The calculation puts the density of states at the Fermi level at 4.50 states/eV/f.u. Its total energy is -4.440 eV per atom.

The space group is Fm-3m (No. 225) and the conventional cell measures 5.935, 5.935 and 5.935 Å, with angles of 90.00, 90.00 and 90.00 degrees. The asymmetric unit holds Ir at (0.000, 0.000, 0.000), W at (0.000, 0.000, 0.500) and F at (0.250, 0.250, 0.250).